1.
Crystalline ZrCdSe2Br at its relaxed geometry, computed with PBE.

Structure (CIF):
```
data_ZrCdSe2Br
_chemical_formula_sum 'Zr1 Cd1 Se2 Br1'
_cell_length_a 5.403
_cell_length_b 5.403
_cell_length_c 4.952
_cell_angle_alpha 90.00
_cell_angle_beta 90.00
_cell_angle_gamma 90.00
_space_group_name_H-M_alt 'P 4/m m m'
_space_group_IT_number 123
_space_group_name_Hall '-P 4 2'
loop_
_atom_site_label
_atom_site_fract_x
_atom_site_fract_y
_atom_site_fract_z
_atom_site_occupancy
Zr1 0.000 0.000 0.000 1
Cd1 0.500 0.500 0.000 1
Se1 0.000 0.500 0.500 1
Br1 0.000 0.000 0.500 1
```

Values from the calculation:
ρ = 5.07 g cm⁻³
Energy above the most stable polymorph in this dataset = 1.270 eV/atom
Calculated total energy = -14.83 eV/f.u.
D(E_F) = 3.73 states/eV per cell
Uncorrected formation energy = 316 kJ/mol of formula units
Crystal system = tetragonal

---

2.
Crystalline Be2CrTc at its relaxed geometry, computed with PBE.

Structure (CIF):
```
data_Be2CrTc
_chemical_formula_sum 'Be6 Cr3 Tc3'
_cell_length_a 2.5851
_cell_length_b 2.5851
_cell_length_c 23.8587
_cell_angle_alpha 90.00
_cell_angle_beta 90.00
_cell_angle_gamma 120.00
_space_group_name_H-M_alt 'R -3 m'
_space_group_IT_number 166
_space_group_name_Hall '-R 3 2"'
loop_
_atom_site_label
_atom_site_fract_x
_atom_site_fract_y
_atom_site_fract_z
_atom_site_occupancy
Be1 0.0000 0.0000 0.2485 1
Cr1 0.0000 0.0000 0.5000 1
Tc1 0.0000 0.0000 0.0000 1
```

Values from the calculation:
ρ = 6.06 g cm⁻³
Energy above the most stable polymorph in this dataset = 0.363 eV/atom
Calculated total energy = -26.34 eV/f.u.
D(E_F) = 9.05 states/eV per cell
ΔE_f = 275.6 meV per atom
Crystal system = trigonal

---

3.
Crystalline MnAlFe3 at its relaxed geometry, computed with PBE.

Structure (CIF):
```
data_MnAlFe3
_chemical_formula_sum 'Mn1 Al1 Fe3'
_cell_length_a 4.187
_cell_length_b 4.187
_cell_length_c 4.187
_cell_angle_alpha 90.00
_cell_angle_beta 90.00
_cell_angle_gamma 90.00
_space_group_name_H-M_alt 'P m -3 m'
_space_group_IT_number 221
_space_group_name_Hall '-P 4 2 3'
loop_
_atom_site_label
_atom_site_fract_x
_atom_site_fract_y
_atom_site_fract_z
_atom_site_occupancy
Mn1 0.000 0.000 0.000 1
Al1 0.500 0.500 0.500 1
Fe1 0.000 0.000 0.500 1
```

Values from the calculation:
ρ = 5.64 g cm⁻³
Energy above the most stable polymorph in this dataset = 1.072 eV/atom
Calculated total energy = -33.33 eV/f.u.
D(E_F) = 8.98 states/eV per cell
ΔE_f = 993.1 meV per atom
Crystal system = cubic